# Cd2SiMo

Crystalline Cd2SiMo at its relaxed geometry (GGA-PBE, Alexandria).

Output
Total energy   -4.1787 eV per atom
Total moment   0.00 μB per formula unit
Calculated density   7.94 g/cm³
Energy relative to the elements, uncorrected   0.34 eV per atom

Unit cell a=4.868 b=4.868 c=5.484 alpha=100.33 beta=100.33 gamma=34.87
Fractional positions:
Cd1 0.000 0.000 0.000
Cd2 0.240 0.240 0.770
Si1 0.485 0.485 0.428
Mo1 0.748 0.748 0.303